This record from Alexandria via LeMat-Bulk describes a relaxed Ba3Cr2O8 crystal. The functional is PBE+U.

## Properties
The space group is P1 (1). For the final energy, the calculation gives -178.5 eV per cell.

Cell lengths 5.844, 5.847, 14.811 Å; angles 101.24, 90.09, 119.94 degrees
Element x y z (fractional)
Ba1 0.000 0.000 0.000
Ba2 0.073 0.179 0.310
Ba3 0.366 0.766 0.190
Ba4 0.485 0.005 0.500
Ba5 0.575 0.180 0.810
Ba6 0.869 0.767 0.690
Cr1 0.176 0.380 0.610
Cr2 0.267 0.567 0.890
Cr3 0.673 0.380 0.110
Cr4 0.767 0.565 0.390
O1 0.077 0.705 0.349
O2 0.097 0.218 0.846
O3 0.099 0.707 0.847
O4 0.117 0.257 0.493
O5 0.267 0.610 0.007
O6 0.350 0.729 0.648
O7 0.358 0.256 0.654
O8 0.369 0.255 0.155
O9 0.579 0.707 0.852
O10 0.594 0.217 0.345
O11 0.594 0.267 0.993
O12 0.598 0.707 0.351
O13 0.789 0.602 0.507
O14 0.852 0.729 0.149
O15 0.854 0.252 0.151
O16 0.869 0.254 0.653